A relaxed Ca2ScVO6 crystal. Source: Alexandria via LeMat-Bulk, functional PBE with a Hubbard U.

As for the density of states at the Fermi level: 0.0 states/eV per cell. The electronic total energy comes out at -151.37 eV for the cell shown.

The structure belongs to space group P2_1/c (No. 14); the cell edges are 5.4383, 5.5814 and 9.4593 Å and the angles 90.00°, 124.87° and 90.00°. The distinct sites, in fractional coordinates, are Ca at (0.2390, 0.0492, 0.2507), Sc at (0.5000, 0.0000, 0.0000), V at (0.0000, 0.0000, 0.5000), O at (0.1446, 0.2191, 0.9522), O at (0.2376, 0.6950, 0.9563) and O at (0.3237, 0.0257, 0.7371).